No. 1
PBE-GGA TaTc2Cl, relaxed; formation energy (no corrections) = 1.61 eV per formula unit; crystal system = monoclinic; E = -8.206 eV per atom; distance to the lowest polymorph of the same formula = 0.3093 eV per atom
1.0
5.193 0.004 0.014
4.334 2.861 0.014
1.906 0.573 4.158
Cl Tc Ta
1 2 1
direct
0.505 0.505 0.441
0.231 0.231 0.270
0.989 0.989 0.048
0.774 0.774 0.742



No. 2
PBE-GGA Ta3TcCl, relaxed; formation energy (no corrections) = 6.67 eV per formula unit; crystal system = cubic; E = -8.221 eV per atom; distance to the lowest polymorph of the same formula = 0.3117 eV per atom
1.0
-1.792 -0.890 -4.442
4.481 0.358 -1.879
0.669 -4.777 0.687
Ta Tc Cl
3 1 1
direct
0.000 0.500 0.000
0.000 0.000 0.500
0.500 0.000 0.000
0.000 0.000 0.000
0.500 0.500 0.500



No. 3
PBE-GGA TaTc2Cl, relaxed; formation energy (no corrections) = 0.43 eV per formula unit; crystal system = tetragonal; E = -8.501 eV per atom; distance to the lowest polymorph of the same formula = 0.0144 eV per atom
1.0
-0.599 -2.231 1.810
2.033 -1.636 -1.343
4.974 2.400 4.605
Tc Ta Cl
2 1 1
direct
0.500 0.500 0.236
0.000 0.000 0.015
0.500 0.500 0.744
0.000 0.000 0.506



No. 4
PBE-GGA Ta2TcCl, relaxed; formation energy (no corrections) = 0.14 eV per formula unit; crystal system = tetragonal; E = -8.944 eV per atom; distance to the lowest polymorph of the same formula = 0.1592 eV per atom
1.0
3.048 0.000 0.000
0.000 3.048 0.000
0.000 0.000 7.475
Ta Cl Tc
2 1 1
direct
0.000 0.000 0.030
0.000 0.000 0.470
0.500 0.500 0.750
0.500 0.500 0.250



No. 5
PBE-GGA TaTcCl2, relaxed; formation energy (no corrections) = 2.69 eV per formula unit; crystal system = tetragonal; E = -5.806 eV per atom; distance to the lowest polymorph of the same formula = 1.1725 eV per atom
1.0
4.927 0.013 0.000
1.581 4.667 0.000
-3.254 -2.340 2.866
Tc Ta Cl
1 1 2
direct
0.750 0.250 0.500
0.500 0.500 0.000
0.250 0.750 0.500
0.000 0.000 0.000



No. 6
PBE-GGA Ta2TcCl, relaxed; formation energy (no corrections) = 3.95 eV per formula unit; crystal system = tetragonal; E = -7.992 eV per atom; distance to the lowest polymorph of the same formula = 1.1106 eV per atom
1.0
4.803 0.000 0.000
0.000 4.803 0.000
2.401 2.401 7.200
Tc Ta Cl
2 4 2
direct
0.750 0.250 0.500
0.000 0.000 0.000
0.147 0.625 0.250
0.875 0.853 0.750
0.375 0.397 0.750
0.603 0.125 0.250
0.500 0.500 0.000
0.250 0.750 0.500



No. 7
PBE-GGA TaTc2Cl, relaxed; formation energy (no corrections) = 1.10 eV per formula unit; crystal system = orthorhombic; E = -8.332 eV per atom; distance to the lowest polymorph of the same formula = 0.1834 eV per atom
1.0
-1.212 2.318 -1.284
-0.914 -2.578 -1.003
-6.263 -0.046 5.828
Ta Tc Cl
1 2 1
direct
0.500 0.500 0.750
0.000 0.000 0.994
0.000 0.000 0.506
0.500 0.500 0.250



No. 8
PBE-GGA Ta2TcCl, relaxed; formation energy (no corrections) = 1.69 eV per formula unit; crystal system = tetragonal; E = -8.557 eV per atom; distance to the lowest polymorph of the same formula = 0.5460 eV per atom
1.0
-3.398 -1.232 2.965
3.059 0.087 3.534
-0.638 2.916 0.480
Ta Cl Tc
2 1 1
direct
0.000 0.000 0.000
0.500 0.500 0.000
0.000 0.500 0.500
0.500 0.000 0.500



No. 9
PBE-GGA TaTcCl2, relaxed; formation energy (no corrections) = 0.81 eV per formula unit; crystal system = orthorhombic; E = -6.275 eV per atom; distance to the lowest polymorph of the same formula = 0.7035 eV per atom
1.0
-6.366 -2.465 -2.636
-1.962 -2.446 -6.612
3.969 -0.082 6.147
Ta Cl Tc
1 2 1
direct
0.514 0.514 0.000
0.668 0.168 0.500
0.930 0.930 0.000
0.387 0.887 0.500



No. 10
PBE-GGA Ta2TcCl, relaxed; formation energy (no corrections) = 1.12 eV per formula unit; crystal system = monoclinic; E = -8.701 eV per atom; distance to the lowest polymorph of the same formula = 0.4021 eV per atom
1.0
-2.354 -1.702 3.173
-1.657 -1.547 -2.060
2.015 -5.201 -1.295
Tc Ta Cl
1 2 1
direct
0.000 0.623 0.474
0.000 0.025 0.009
0.500 0.267 0.262
0.500 0.585 0.754



No. 11
PBE-GGA TaTcCl2, relaxed; formation energy (no corrections) = -0.84 eV per formula unit; crystal system = tetragonal; E = -6.687 eV per atom; distance to the lowest polymorph of the same formula = 0.2917 eV per atom
1.0
-0.600 0.702 2.830
-2.680 -1.270 -0.253
3.375 -7.645 2.612
Tc Cl Ta
1 2 1
direct
0.500 0.500 0.734
0.000 0.000 0.919
0.500 0.500 0.327
0.000 0.000 0.519



No. 12
PBE-GGA Ta2TcCl, relaxed; formation energy (no corrections) = 1.93 eV per formula unit; crystal system = orthorhombic; E = -8.498 eV per atom; distance to the lowest polymorph of the same formula = 0.6046 eV per atom
1.0
4.952 -0.428 -0.009
1.529 4.730 0.009
-2.540 -3.207 2.824
Ta Tc Cl
2 1 1
direct
0.014 0.014 0.000
0.486 0.486 0.000
0.750 0.250 0.500
0.250 0.750 0.500



No. 13
PBE-GGA TaTc2Cl, relaxed; formation energy (no corrections) = 3.08 eV per formula unit; crystal system = cubic; E = -7.839 eV per atom; distance to the lowest polymorph of the same formula = 0.6769 eV per atom
1.0
-3.467 2.518 1.323
-1.924 2.854 -2.875
-4.112 -0.840 -1.579
Tc Ta Cl
2 1 1
direct
0.250 0.250 0.250
0.750 0.750 0.750
0.500 0.500 0.500
0.000 0.000 0.000



No. 14
PBE-GGA TaTc2Cl, relaxed; formation energy (no corrections) = 3.06 eV per formula unit; crystal system = cubic; E = -7.843 eV per atom; distance to the lowest polymorph of the same formula = 0.6724 eV per atom
1.0
-0.832 0.666 -4.343
3.313 -0.320 -2.986
0.114 -3.442 -2.852
Tc Cl Ta
2 1 1
direct
0.000 0.000 0.000
0.750 0.750 0.750
0.500 0.500 0.500
0.250 0.250 0.250



No. 15
PBE-GGA Ta2TcCl, relaxed; formation energy (no corrections) = 2.55 eV per formula unit; crystal system = tetragonal; E = -8.342 eV per atom; distance to the lowest polymorph of the same formula = 0.7604 eV per atom
1.0
5.520 -0.003 0.000
3.020 4.621 0.000
-4.270 -2.309 2.628
Tc Ta Cl
1 2 1
direct
0.500 0.500 0.000
0.000 0.000 0.000
0.250 0.750 0.500
0.750 0.250 0.500



No. 16
PBE-GGA TaTc2Cl, relaxed; formation energy (no corrections) = 3.09 eV per formula unit; crystal system = tetragonal; E = -7.836 eV per atom; distance to the lowest polymorph of the same formula = 0.6803 eV per atom
1.0
5.173 -0.003 0.000
2.437 4.562 0.000
-3.805 -2.280 2.661
Cl Tc Ta
1 2 1
direct
0.500 0.500 0.000
0.000 0.000 0.000
0.250 0.750 0.500
0.750 0.250 0.500



No. 17
PBE-GGA Ta2TcCl, relaxed; formation energy (no corrections) = -0.49 eV per formula unit; crystal system = orthorhombic; E = -9.103 eV per atom; distance to the lowest polymorph of the same formula = 0.0000 eV per atom
1.0
3.077 0.000 0.000
0.000 3.124 -0.007
0.000 0.019 7.569
Ta Tc Cl
2 1 1
direct
0.000 0.750 0.040
0.000 0.750 0.460
0.500 0.250 0.250
0.500 0.750 0.750



No. 18
PBE-GGA Ta2TcCl, relaxed; formation energy (no corrections) = 1.39 eV per formula unit; crystal system = monoclinic; E = -8.633 eV per atom; distance to the lowest polymorph of the same formula = 0.4699 eV per atom
1.0
-4.944 1.777 0.371
-5.075 -1.006 -0.989
-1.451 -1.856 3.935
Tc Ta Cl
1 2 1
direct
0.481 0.481 0.529
0.001 0.001 0.973
0.744 0.744 0.722
0.275 0.275 0.277



No. 19
PBE-GGA TaTc3Cl, relaxed; formation energy (no corrections) = 9.82 eV per formula unit; crystal system = cubic; E = -6.995 eV per atom; distance to the lowest polymorph of the same formula = 1.0233 eV per atom
1.0
-4.405 1.848 1.197
-2.194 -3.449 -2.747
-0.192 -2.990 3.908
Cl Tc Ta
1 3 1
direct
0.500 0.500 0.500
0.500 0.000 0.000
0.000 0.000 0.500
0.000 0.500 0.000
0.000 0.000 0.000



No. 20
PBE-GGA TaTcW2Cl, relaxed; formation energy (no corrections) = 12.14 eV per formula unit; crystal system = tetragonal; E = -7.567 eV per atom
1.0
4.903 0.000 0.000
0.000 4.809 0.000
0.000 0.000 4.903
Cl Ta Tc W
1 1 1 2
direct
0.500 0.500 0.500
0.000 0.000 0.000
0.000 0.500 0.000
0.500 0.000 0.000
0.000 0.000 0.500